Computed, not measured: Ge3BMo after structural relaxation at the GGA-PBE level of DFT.

Values from the calculation:
The final energy is -25.2 eV per cell. The space-group type is No. 221. The value obtained for the energy relative to the elements is 1.23 eV/atom. For the energy above the most stable polymorph in this dataset, the calculation gives 192.7 meV per atom. Its crystal system is cubic.

Cell lengths 4.871, 4.871, 4.871 Å; angles 90.00, 90.00, 90.00 degrees
Positions (direct):
Mo: 0.000 0.000 0.000
B: 0.500 0.500 0.500
Ge: 0.000 0.500 0.000
Ge: 0.000 0.000 0.500
Ge: 0.500 0.000 0.000